Below is a geometry-optimized BaZrSc2 structure, with properties calculated at the PBE-GGA level.

a = 5.0793 Å, b = 5.0793 Å, c = 8.8314 Å
α = 90.00°, β = 90.00°, γ = 90.00°
Space group I4/mmm (No. 139)
Unique sites:
Ba (0.0000, 0.0000, 0.0000) [2 per cell]
Zr (0.0000, 0.0000, 0.5000) [2 per cell]
Sc (0.0000, 0.5000, 0.2500) [4 per cell]

Output
Total magnetization   0.00 μB per atom
DOS at the Fermi energy   12.291 states/eV per cell
Polymorph energy (0 for the lowest one)   0.81 eV/f.u.